# ScTaRe4

Crystalline ScTaRe4 at its relaxed geometry (PBE-GGA, the Alexandria database).

Calculated density (g/cm3): 15.9
Formation enthalpy at 0 K (eV per atom): -0.179
E_tot (eV/atom): -11.509

a b c (Å): 5.2365 5.2365 5.2365
angles (deg): 60.00 60.00 60.00
Positions (direct):
Ta  0.0000  0.0000  0.0000
Re  0.8751  0.3750  0.3750
Re  0.3750  0.3750  0.3750
Re  0.3750  0.3750  0.8751
Re  0.3750  0.8751  0.3750
Sc  0.7500  0.7500  0.7500


# AlNiIr2

Crystalline AlNiIr2 at its relaxed geometry (PBE-GGA, the Alexandria database).

Calculated density (g/cm3): 14.5
Formation enthalpy at 0 K (eV per atom): -0.354
E_tot (eV/atom): -7.165

a b c (Å): 4.6478 4.6478 4.6478
angles (deg): 132.24 132.24 69.85
Positions (direct):
Ir  0.2500  0.7500  0.5000
Ir  0.0000  0.0000  0.0000
Al  0.7500  0.2500  0.5000
Ni  0.5000  0.5000  0.0000


# BaH2F6

Crystalline BaH2F6 at its relaxed geometry (PBE-GGA, the Alexandria database).

Calculated density (g/cm3): 3.1
E_tot (eV/atom): -4.155

a b c (Å): 6.7832 7.2999 7.2999
angles (deg): 130.59 91.70 91.70
Positions (direct):
F  0.0149  0.1978  0.4455
F  0.6364  0.1107  0.6668
F  0.4238  0.8974  0.8419
F  0.0762  0.1581  0.1026
F  0.4851  0.5545  0.8022
F  0.5762  0.1026  0.1581
F  0.9851  0.8022  0.5545
F  0.5149  0.4455  0.1978
F  0.3636  0.8893  0.3332
F  0.8636  0.3332  0.8893
F  0.1364  0.6668  0.1107
F  0.9238  0.8419  0.8974
H  0.4503  0.6965  0.8148
H  0.9503  0.8148  0.6965
H  0.5497  0.3035  0.1852
H  0.0497  0.1852  0.3035
Ba  0.7500  0.7847  0.2153
Ba  0.2500  0.2153  0.7847


# InSnAu

Crystalline InSnAu at its relaxed geometry (PBE-GGA, the Alexandria database).

Calculated density (g/cm3): 9.8
Formation enthalpy at 0 K (eV per atom): -0.132
E_tot (eV/atom): -3.472

a b c (Å): 5.5819 7.0038 4.3169
angles (deg): 107.70 66.14 91.28
Positions (direct):
In  0.1560  0.1086  0.5363
In  0.6992  0.4172  0.4130
Sn  0.1012  0.6666  0.8360
Sn  0.6217  0.9851  0.7303
Au  0.2749  0.3623  0.1006
Au  0.5207  0.7316  0.1557


# BaSc2Bi2

Crystalline BaSc2Bi2 at its relaxed geometry (PBE-GGA, the Alexandria database).

Calculated density (g/cm3): 7.0
Formation enthalpy at 0 K (eV per atom): -0.445
E_tot (eV/atom): -4.915

a b c (Å): 8.9275 8.9275 3.8412
angles (deg): 90.00 90.00 90.00
Positions (direct):
Sc  0.3634  0.1366  0.5000
Sc  0.8634  0.3634  0.5000
Sc  0.1366  0.6365  0.5000
Sc  0.6365  0.8634  0.5000
Bi  0.1481  0.3519  0.0000
Bi  0.3519  0.8519  0.0000
Bi  0.6481  0.1481  0.0000
Bi  0.8519  0.6481  0.0000
Ba  0.0000  0.0000  0.0000
Ba  0.5000  0.5000  0.0000


# BaCuOs2

Crystalline BaCuOs2 at its relaxed geometry (PBE-GGA, the Alexandria database).

Calculated density (g/cm3): 12.4
Formation enthalpy at 0 K (eV per atom): 1.326
E_tot (eV/atom): -5.794

a b c (Å): 5.0989 3.9106 3.9106
angles (deg): 90.00 90.00 90.00
Positions (direct):
Ba  0.5000  0.5000  0.0000
Os  0.0000  0.5000  0.5000
Os  0.0000  0.0000  0.0000
Cu  0.5000  0.0000  0.5000


Among the records above, which one has the lowest E_tot? ScTaRe4


E_tot of number 5 (BaSc2Bi2)? -4.915 eV/atom


Which formula does entry 2 have? AlNiIr2


What is the E_tot in the first record? -11.509 eV/atom